DFT (PBE) results for crystalline SmDy4HoSe8 at its relaxed geometry.

Lattice parameters (Å, degrees): 8.437 8.437 8.437 60.05 60.05 60.05
Fractional positions:
1 Sm 0.000 0.000 0.000
2 Dy 0.127 0.624 0.624
3 Dy 0.250 0.250 0.250
4 Dy 0.624 0.127 0.624
5 Dy 0.624 0.624 0.127
6 Ho 0.625 0.625 0.625
7 Se 0.382 0.382 0.382
8 Se 0.383 0.383 0.853
9 Se 0.383 0.853 0.383
10 Se 0.404 0.865 0.865
11 Se 0.853 0.383 0.383
12 Se 0.865 0.404 0.865
13 Se 0.865 0.865 0.404
14 Se 0.865 0.865 0.865

The density of states at the Fermi level is 8.812 states/eV/cell. As for the space-group type: R3m, No. 160. The value obtained for the energy relative to the elements, uncorrected is -165 kJ/mol of atoms. Its total energy is -5.684 eV per atom. The calculated volume comes out at 425.10 Å³ per cell.

DFT (PBE) results for crystalline Sm2Dy3HoSe6 at its relaxed geometry.

Lattice parameters (Å, degrees): 9.175 9.175 8.252 103.16 103.16 25.75
Fractional positions:
1 Sm 0.168 0.168 0.336
2 Sm 0.832 0.832 0.664
3 Dy 0.170 0.170 0.833
4 Dy 0.500 0.500 0.500
5 Dy 0.830 0.830 0.167
6 Ho 0.500 0.500 0.000
7 Se 0.003 0.003 0.753
8 Se 0.335 0.335 0.924
9 Se 0.336 0.336 0.412
10 Se 0.664 0.664 0.588
11 Se 0.665 0.665 0.076
12 Se 0.997 0.997 0.247

The density of states at the Fermi level is 5.606 states/eV/cell. As for the space-group type: C2/m, No. 12. The value obtained for the energy relative to the elements, uncorrected is -171 kJ/mol of atoms. Its total energy is -5.828 eV per atom. The calculated volume comes out at 293.43 Å³ per cell.

DFT (PBE) results for crystalline SmDy4Ho3Se8 at its relaxed geometry.

Lattice parameters (Å, degrees): 8.159 8.159 8.159 60.03 60.03 60.03
Fractional positions:
1 Sm 0.000 0.000 0.000
2 Dy 0.000 0.000 0.500
3 Dy 0.000 0.500 0.000
4 Dy 0.500 0.000 0.000
5 Dy 0.500 0.500 0.500
6 Ho 0.000 0.500 0.500
7 Ho 0.500 0.000 0.500
8 Ho 0.500 0.500 0.000
9 Se 0.251 0.251 0.251
10 Se 0.253 0.253 0.746
11 Se 0.253 0.746 0.253
12 Se 0.254 0.747 0.747
13 Se 0.746 0.253 0.253
14 Se 0.747 0.254 0.747
15 Se 0.747 0.747 0.254
16 Se 0.749 0.749 0.749

The density of states at the Fermi level is 10.575 states/eV/cell. As for the space-group type: R-3m, No. 166. The value obtained for the energy relative to the elements, uncorrected is -168 kJ/mol of atoms. Its total energy is -5.787 eV per atom. The calculated volume comes out at 384.44 Å³ per cell.

DFT (PBE) results for crystalline Sm3DyHo2Se6 at its relaxed geometry.

Lattice parameters (Å, degrees): 7.105 7.105 7.196 99.44 99.44 120.32
Fractional positions:
1 Sm 0.000 0.000 0.000
2 Sm 0.334 0.666 0.000
3 Sm 0.666 0.334 0.000
4 Dy 0.500 0.500 0.500
5 Ho 0.167 0.833 0.500
6 Ho 0.833 0.167 0.500
7 Se 0.086 0.420 0.260
8 Se 0.245 0.245 0.739
9 Se 0.420 0.086 0.260
10 Se 0.580 0.914 0.740
11 Se 0.755 0.755 0.261
12 Se 0.914 0.580 0.740

The density of states at the Fermi level is 5.705 states/eV/cell. As for the space-group type: C2/m, No. 12. The value obtained for the energy relative to the elements, uncorrected is -172 kJ/mol of atoms. Its total energy is -5.847 eV per atom. The calculated volume comes out at 296.03 Å³ per cell.

DFT (PBE) results for crystalline Sr3DyHo3Se8 at its relaxed geometry.

Lattice parameters (Å, degrees): 8.587 8.587 8.587 57.77 57.77 57.77
Fractional positions:
1 Sr 0.000 0.500 0.500
2 Sr 0.500 0.000 0.500
3 Sr 0.500 0.500 0.000
4 Dy 0.500 0.500 0.500
5 Ho 0.000 0.000 0.500
6 Ho 0.000 0.500 0.000
7 Ho 0.500 0.000 0.000
8 Se 0.240 0.744 0.744
9 Se 0.243 0.243 0.243
10 Se 0.256 0.256 0.760
11 Se 0.256 0.760 0.256
12 Se 0.744 0.240 0.744
13 Se 0.744 0.744 0.240
14 Se 0.757 0.757 0.757
15 Se 0.760 0.256 0.256

The density of states at the Fermi level is 4.597 states/eV/cell. As for the space-group type: R-3m, No. 166. The value obtained for the energy relative to the elements, uncorrected is -185 kJ/mol of atoms. Its total energy is -5.340 eV per atom. The calculated volume comes out at 424.76 Å³ per cell.

DFT (PBE) results for crystalline SrDy2HoSe4 at its relaxed geometry.

Lattice parameters (Å, degrees): 7.192 4.124 7.194 90.00 109.07 90.00
Fractional positions:
1 Sr 0.000 0.000 0.000
2 Dy 0.000 0.500 0.500
3 Dy 0.500 0.000 0.500
4 Ho 0.500 0.500 0.000
5 Se 0.257 0.000 0.746
6 Se 0.262 0.500 0.261
7 Se 0.738 0.500 0.739
8 Se 0.743 0.000 0.254

The density of states at the Fermi level is 2.901 states/eV/cell. As for the space-group type: P2/m, No. 10. The value obtained for the energy relative to the elements, uncorrected is -172 kJ/mol of atoms. Its total energy is -5.460 eV per atom. The calculated volume comes out at 201.70 Å³ per cell.

DFT (PBE) results for crystalline SrDy4HoSe8 at its relaxed geometry.

Lattice parameters (Å, degrees): 8.518 8.518 8.518 60.06 60.06 60.06
Fractional positions:
1 Sr 0.000 0.000 0.000
2 Dy 0.119 0.627 0.627
3 Dy 0.250 0.250 0.250
4 Dy 0.627 0.119 0.627
5 Dy 0.627 0.627 0.119
6 Ho 0.627 0.627 0.627
7 Se 0.382 0.382 0.382
8 Se 0.383 0.383 0.852
9 Se 0.383 0.852 0.383
10 Se 0.416 0.861 0.861
11 Se 0.852 0.383 0.383
12 Se 0.861 0.416 0.861
13 Se 0.861 0.861 0.416
14 Se 0.861 0.861 0.861

The density of states at the Fermi level is 4.130 states/eV/cell. As for the space-group type: R3m, No. 160. The value obtained for the energy relative to the elements, uncorrected is -173 kJ/mol of atoms. Its total energy is -5.545 eV per atom. The calculated volume comes out at 437.57 Å³ per cell.

DFT (PBE) results for crystalline Sr3Dy2HoSe6 at its relaxed geometry.

Lattice parameters (Å, degrees): 7.271 7.271 7.449 99.39 99.39 119.94
Fractional positions:
1 Sr 0.000 0.000 0.000
2 Sr 0.333 0.667 0.000
3 Sr 0.667 0.333 0.000
4 Dy 0.166 0.834 0.500
5 Dy 0.834 0.166 0.500
6 Ho 0.500 0.500 0.500
7 Se 0.091 0.424 0.271
8 Se 0.245 0.245 0.730
9 Se 0.424 0.091 0.271
10 Se 0.576 0.909 0.729
11 Se 0.755 0.755 0.270
12 Se 0.909 0.576 0.729

The density of states at the Fermi level is 4.464 states/eV/cell. As for the space-group type: C2/m, No. 12. The value obtained for the energy relative to the elements, uncorrected is -181 kJ/mol of atoms. Its total energy is -5.188 eV per atom. The calculated volume comes out at 322.62 Å³ per cell.

DFT (PBE) results for crystalline SrDyHo4Se8 at its relaxed geometry.

Lattice parameters (Å, degrees): 8.509 8.509 8.509 59.91 59.91 59.91
Fractional positions:
1 Sr 0.000 0.000 0.000
2 Dy 0.372 0.372 0.372
3 Ho 0.373 0.373 0.880
4 Ho 0.373 0.880 0.373
5 Ho 0.749 0.749 0.749
6 Ho 0.880 0.373 0.373
7 Se 0.137 0.137 0.584
8 Se 0.137 0.584 0.137
9 Se 0.139 0.139 0.139
10 Se 0.147 0.618 0.618
11 Se 0.584 0.137 0.137
12 Se 0.617 0.617 0.617
13 Se 0.618 0.147 0.618
14 Se 0.618 0.618 0.147

The density of states at the Fermi level is 4.155 states/eV/cell. As for the space-group type: R3m, No. 160. The value obtained for the energy relative to the elements, uncorrected is -172 kJ/mol of atoms. Its total energy is -5.534 eV per atom. The calculated volume comes out at 434.71 Å³ per cell.

DFT (PBE) results for crystalline TbDy4HoSe8 at its relaxed geometry.

Lattice parameters (Å, degrees): 8.413 8.413 8.413 60.03 60.03 60.03
Fractional positions:
1 Tb 0.000 0.000 0.000
2 Dy 0.125 0.625 0.625
3 Dy 0.250 0.250 0.250
4 Dy 0.625 0.125 0.625
5 Dy 0.625 0.625 0.125
6 Ho 0.625 0.625 0.625
7 Se 0.382 0.382 0.382
8 Se 0.383 0.383 0.852
9 Se 0.383 0.852 0.383
10 Se 0.399 0.866 0.866
11 Se 0.852 0.383 0.383
12 Se 0.866 0.399 0.866
13 Se 0.866 0.866 0.399
14 Se 0.867 0.867 0.867

The density of states at the Fermi level is 8.686 states/eV/cell. As for the space-group type: R3m, No. 160. The value obtained for the energy relative to the elements, uncorrected is -165 kJ/mol of atoms. Its total energy is -5.678 eV per atom. The calculated volume comes out at 421.36 Å³ per cell.

DFT (PBE) results for crystalline Tb3Dy4HoSe8 at its relaxed geometry.

Lattice parameters (Å, degrees): 8.162 8.162 8.162 60.00 60.00 60.00
Fractional positions:
1 Tb 0.000 0.500 0.500
2 Tb 0.500 0.000 0.500
3 Tb 0.500 0.500 0.000
4 Dy 0.000 0.000 0.500
5 Dy 0.000 0.500 0.000
6 Dy 0.500 0.000 0.000
7 Dy 0.500 0.500 0.500
8 Ho 0.000 0.000 0.000
9 Se 0.248 0.751 0.751
10 Se 0.249 0.249 0.249
11 Se 0.249 0.249 0.752
12 Se 0.249 0.752 0.249
13 Se 0.751 0.248 0.751
14 Se 0.751 0.751 0.248
15 Se 0.751 0.751 0.751
16 Se 0.752 0.249 0.249

The density of states at the Fermi level is 10.638 states/eV/cell. As for the space-group type: R-3m, No. 166. The value obtained for the energy relative to the elements, uncorrected is -169 kJ/mol of atoms. Its total energy is -5.796 eV per atom. The calculated volume comes out at 384.44 Å³ per cell.

DFT (PBE) results for crystalline Tb2Dy3HoSe6 at its relaxed geometry.

Lattice parameters (Å, degrees): 9.114 9.114 8.186 103.16 103.16 25.79
Fractional positions:
1 Tb 0.167 0.167 0.334
2 Tb 0.833 0.833 0.666
3 Dy 0.168 0.168 0.833
4 Dy 0.500 0.500 0.500
5 Dy 0.832 0.832 0.167
6 Ho 0.500 0.500 0.000
7 Se 0.001 0.001 0.752
8 Se 0.334 0.334 0.416
9 Se 0.334 0.334 0.919
10 Se 0.666 0.666 0.081
11 Se 0.666 0.666 0.584
12 Se 0.999 0.999 0.248

The density of states at the Fermi level is 5.555 states/eV/cell. As for the space-group type: C2/m, No. 12. The value obtained for the energy relative to the elements, uncorrected is -169 kJ/mol of atoms. Its total energy is -5.798 eV per atom. The calculated volume comes out at 287.68 Å³ per cell.